--- a ---
# CaTl3Pd, relaxed, DFT PBE
# Crystal system ... cubic
# N(E_F) ... 3.89 states/eV per cell
data_CaTl3Pd
_cell_length_a 5.357
_cell_length_b 5.357
_cell_length_c 5.357
_cell_angle_alpha 90.00
_cell_angle_beta 90.00
_cell_angle_gamma 90.00
_space_group_name_H-M_alt 'P m -3 m'
_space_group_IT_number 221
_space_group_name_Hall '-P 4 2 3'
loop_
_atom_site_label
_atom_site_type_symbol
_atom_site_fract_x
_atom_site_fract_y
_atom_site_fract_z
Ca1 Ca 0.000 0.000 0.000
Tl1 Tl 0.000 0.500 0.500
Pd1 Pd 0.500 0.500 0.500

--- b ---
# CaTl3Pd, relaxed, DFT PBE
# Crystal system ... cubic
# N(E_F) ... 4.76 states/eV per cell
data_CaTl3Pd
_cell_length_a 5.821
_cell_length_b 5.821
_cell_length_c 5.821
_cell_angle_alpha 90.00
_cell_angle_beta 90.00
_cell_angle_gamma 90.00
_space_group_name_H-M_alt 'P m -3 m'
_space_group_IT_number 221
_space_group_name_Hall '-P 4 2 3'
loop_
_atom_site_label
_atom_site_type_symbol
_atom_site_fract_x
_atom_site_fract_y
_atom_site_fract_z
Ca1 Ca 0.000 0.000 0.000
Tl1 Tl 0.000 0.000 0.500
Pd1 Pd 0.500 0.500 0.500

Name the most stable of them. a.

--- a ---
# Ca8Tl2Pd, relaxed, DFT PBE
# Crystal system ... monoclinic
# N(E_F) ... 18.87 states/eV per cell
data_Ca8Tl2Pd
_cell_length_a 18.732
_cell_length_b 5.468
_cell_length_c 7.280
_cell_angle_alpha 90.00
_cell_angle_beta 108.41
_cell_angle_gamma 90.00
_space_group_name_H-M_alt 'C 1 2/m 1'
_space_group_IT_number 12
loop_
_space_group_symop_operation_xyz
'x,y,z'
'-x,-y,-z'
'-x,y,-z'
'x,-y,z'
'x+1/2,y+1/2,z'
'-x+1/2,-y+1/2,-z'
'-x+1/2,y+1/2,-z'
'x+1/2,-y+1/2,z'
loop_
_atom_site_label
_atom_site_type_symbol
_atom_site_fract_x
_atom_site_fract_y
_atom_site_fract_z
Ca1 Ca 0.023 0.000 0.290
Ca2 Ca 0.095 0.500 0.927
Ca3 Ca 0.153 0.500 0.454
Ca4 Ca 0.206 0.000 0.794
Tl1 Tl 0.182 0.000 0.210
Pd1 Pd 0.000 0.500 0.500

--- b ---
# Ca8Tl2Pd, relaxed, DFT PBE
# Crystal system ... orthorhombic
# N(E_F) ... 17.53 states/eV per cell
data_Ca8Tl2Pd
_cell_length_a 5.323
_cell_length_b 8.990
_cell_length_c 14.681
_cell_angle_alpha 90.00
_cell_angle_beta 90.00
_cell_angle_gamma 90.00
_space_group_name_H-M_alt 'I m m m'
_space_group_IT_number 71
_space_group_name_Hall '-I 2 2'
loop_
_atom_site_label
_atom_site_type_symbol
_atom_site_fract_x
_atom_site_fract_y
_atom_site_fract_z
Ca1 Ca 0.000 0.000 0.129
Ca2 Ca 0.000 0.223 0.344
Ca3 Ca 0.000 0.321 0.000
Tl1 Tl 0.000 0.500 0.195
Pd1 Pd 0.000 0.500 0.500

Name the most stable of them. a.

--- a ---
# CaTlPd6, relaxed, DFT PBE
# Crystal system ... cubic
# N(E_F) ... 6.31 states/eV per cell
data_CaTlPd6
_cell_length_a 5.226
_cell_length_b 5.226
_cell_length_c 5.226
_cell_angle_alpha 90.00
_cell_angle_beta 90.00
_cell_angle_gamma 90.00
_space_group_name_H-M_alt 'P m -3'
_space_group_IT_number 200
_space_group_name_Hall '-P 2 2 3'
loop_
_atom_site_label
_atom_site_type_symbol
_atom_site_fract_x
_atom_site_fract_y
_atom_site_fract_z
Ca1 Ca 0.000 0.000 0.000
Tl1 Tl 0.500 0.500 0.500
Pd1 Pd 0.000 0.252 0.500

--- b ---
# CaTlPd6, relaxed, DFT PBE
# Crystal system ... hexagonal
# N(E_F) ... 9.24 states/eV per cell
data_CaTlPd6
_cell_length_a 5.8475
_cell_length_b 5.8475
_cell_length_c 4.6805
_cell_angle_alpha 90.00
_cell_angle_beta 90.00
_cell_angle_gamma 120.00
_space_group_name_H-M_alt 'P -6 m 2'
_space_group_IT_number 187
_space_group_name_Hall 'P -6 2'
loop_
_atom_site_label
_atom_site_type_symbol
_atom_site_fract_x
_atom_site_fract_y
_atom_site_fract_z
Ca1 Ca 0.0000 0.0000 0.0000
Tl1 Tl 0.6667 0.3333 0.5000
Pd1 Pd 0.0050 0.5025 0.0000
Pd2 Pd 0.1725 0.3451 0.5000

Name the most stable of them. b.

--- a ---
# CaTm2Pd, relaxed, DFT PBE
# Crystal system ... trigonal
# N(E_F) ... 10.83 states/eV per cell
data_CaTm2Pd
_cell_length_a 3.9780
_cell_length_b 3.9780
_cell_length_c 28.0937
_cell_angle_alpha 90.00
_cell_angle_beta 90.00
_cell_angle_gamma 120.00
_space_group_name_H-M_alt 'R -3 m'
_space_group_IT_number 166
_space_group_name_Hall '-R 3 2"'
loop_
_atom_site_label
_atom_site_type_symbol
_atom_site_fract_x
_atom_site_fract_y
_atom_site_fract_z
Ca1 Ca 0.0000 0.0000 0.0000
Tm1 Tm 0.0000 0.0000 0.2217
Pd1 Pd 0.0000 0.0000 0.5000

--- b ---
# CaTm2Pd, relaxed, DFT PBE
# Crystal system ... tetragonal
# N(E_F) ... 4.19 states/eV per cell
data_CaTm2Pd
_cell_length_a 3.478
_cell_length_b 3.478
_cell_length_c 9.369
_cell_angle_alpha 90.00
_cell_angle_beta 90.00
_cell_angle_gamma 90.00
_space_group_name_H-M_alt 'P 4/m m m'
_space_group_IT_number 123
_space_group_name_Hall '-P 4 2'
loop_
_atom_site_label
_atom_site_type_symbol
_atom_site_fract_x
_atom_site_fract_y
_atom_site_fract_z
Ca1 Ca 0.000 0.000 0.000
Tm1 Tm 0.500 0.500 0.321
Pd1 Pd 0.000 0.000 0.500

Name the most stable of them. b.

--- a ---
# Ca2VPd, relaxed, DFT PBE
# Crystal system ... cubic
# N(E_F) ... 7.25 states/eV per cell
data_Ca2VPd
_cell_length_a 7.241
_cell_length_b 7.241
_cell_length_c 7.241
_cell_angle_alpha 90.00
_cell_angle_beta 90.00
_cell_angle_gamma 90.00
_space_group_name_H-M_alt 'F m -3 m'
_space_group_IT_number 225
_space_group_name_Hall '-F 4 2 3'
loop_
_atom_site_label
_atom_site_type_symbol
_atom_site_fract_x
_atom_site_fract_y
_atom_site_fract_z
Ca1 Ca 0.250 0.250 0.250
V1 V 0.000 0.000 0.000
Pd1 Pd 0.000 0.000 0.500

--- b ---
# Ca2VPd, relaxed, DFT PBE
# Crystal system ... tetragonal
# N(E_F) ... 23.81 states/eV per cell
data_Ca2VPd
_cell_length_a 8.163
_cell_length_b 8.163
_cell_length_c 6.239
_cell_angle_alpha 90.00
_cell_angle_beta 90.00
_cell_angle_gamma 90.00
_space_group_name_H-M_alt 'I -4 2 d'
_space_group_IT_number 122
_space_group_name_Hall 'I -4 2bw'
loop_
_atom_site_label
_atom_site_type_symbol
_atom_site_fract_x
_atom_site_fract_y
_atom_site_fract_z
Ca1 Ca 0.208 0.250 0.125
V1 V 0.000 0.000 0.500
Pd1 Pd 0.000 0.000 0.000

Name the most stable of them. a.

--- a ---
# CaV3Pd, relaxed, DFT PBE
# Crystal system ... cubic
# N(E_F) ... 8.20 states/eV per cell
data_CaV3Pd
_cell_length_a 4.865
_cell_length_b 4.865
_cell_length_c 4.865
_cell_angle_alpha 90.00
_cell_angle_beta 90.00
_cell_angle_gamma 90.00
_space_group_name_H-M_alt 'P m -3 m'
_space_group_IT_number 221
_space_group_name_Hall '-P 4 2 3'
loop_
_atom_site_label
_atom_site_type_symbol
_atom_site_fract_x
_atom_site_fract_y
_atom_site_fract_z
Ca1 Ca 0.000 0.000 0.000
V1 V 0.000 0.500 0.500
Pd1 Pd 0.500 0.500 0.500

--- b ---
# CaV3Pd, relaxed, DFT PBE
# Crystal system ... cubic
# N(E_F) ... 6.22 states/eV per cell
data_CaV3Pd
_cell_length_a 4.402
_cell_length_b 4.402
_cell_length_c 4.402
_cell_angle_alpha 90.00
_cell_angle_beta 90.00
_cell_angle_gamma 90.00
_space_group_name_H-M_alt 'P m -3 m'
_space_group_IT_number 221
_space_group_name_Hall '-P 4 2 3'
loop_
_atom_site_label
_atom_site_type_symbol
_atom_site_fract_x
_atom_site_fract_y
_atom_site_fract_z
Ca1 Ca 0.000 0.000 0.000
V1 V 0.000 0.000 0.500
Pd1 Pd 0.500 0.500 0.500

Name the most stable of them. a.

--- a ---
# Ca2PdW, relaxed, DFT PBE
# Crystal system ... tetragonal
# N(E_F) ... 23.57 states/eV per cell
data_Ca2PdW
_cell_length_a 8.092
_cell_length_b 8.092
_cell_length_c 5.663
_cell_angle_alpha 90.00
_cell_angle_beta 90.00
_cell_angle_gamma 90.00
_space_group_name_H-M_alt 'I -4 2 d'
_space_group_IT_number 122
_space_group_name_Hall 'I -4 2bw'
loop_
_atom_site_label
_atom_site_type_symbol
_atom_site_fract_x
_atom_site_fract_y
_atom_site_fract_z
Ca1 Ca 0.216 0.250 0.125
Pd1 Pd 0.000 0.000 0.000
W1 W 0.000 0.000 0.500

--- b ---
# Ca2PdW, relaxed, DFT PBE
# Crystal system ... cubic
# N(E_F) ... 12.97 states/eV per cell
data_Ca2PdW
_cell_length_a 7.184
_cell_length_b 7.184
_cell_length_c 7.184
_cell_angle_alpha 90.00
_cell_angle_beta 90.00
_cell_angle_gamma 90.00
_space_group_name_H-M_alt 'F m -3 m'
_space_group_IT_number 225
_space_group_name_Hall '-F 4 2 3'
loop_
_atom_site_label
_atom_site_type_symbol
_atom_site_fract_x
_atom_site_fract_y
_atom_site_fract_z
Ca1 Ca 0.250 0.250 0.250
Pd1 Pd 0.000 0.000 0.000
W1 W 0.000 0.000 0.500

Name the most stable of them. b.

--- a ---
# CaYPd4, relaxed, DFT PBE
# Crystal system ... cubic
# N(E_F) ... 25.10 states/eV per cell
data_CaYPd4
_cell_length_a 7.715
_cell_length_b 7.715
_cell_length_c 7.715
_cell_angle_alpha 90.00
_cell_angle_beta 90.00
_cell_angle_gamma 90.00
_space_group_name_H-M_alt 'F -4 3 m'
_space_group_IT_number 216
_space_group_name_Hall 'F -4 2 3'
loop_
_atom_site_label
_atom_site_type_symbol
_atom_site_fract_x
_atom_site_fract_y
_atom_site_fract_z
Ca1 Ca 0.000 0.000 0.000
Y1 Y 0.250 0.250 0.250
Pd1 Pd 0.125 0.125 0.625

--- b ---
# CaYPd4, relaxed, DFT PBE
# Crystal system ... tetragonal
# N(E_F) ... 4.25 states/eV per cell
data_CaYPd4
_cell_length_a 3.883
_cell_length_b 3.883
_cell_length_c 8.850
_cell_angle_alpha 90.00
_cell_angle_beta 90.00
_cell_angle_gamma 90.00
_space_group_name_H-M_alt 'P 4/m m m'
_space_group_IT_number 123
_space_group_name_Hall '-P 4 2'
loop_
_atom_site_label
_atom_site_type_symbol
_atom_site_fract_x
_atom_site_fract_y
_atom_site_fract_z
Ca1 Ca 0.000 0.000 0.000
Y1 Y 0.500 0.500 0.500
Pd1 Pd 0.000 0.500 0.260

Name the most stable of them. a.